TcPb2Cl after structural relaxation. Source: Alexandria via LeMat-Bulk, functional PBE-GGA.

Calculated values
The formation energy (no corrections) comes out at 0.220 eV/atom. The space-group type is Pm. The value obtained for the energy above the most stable polymorph in this dataset is 34 meV/atom.

The structure in extended XYZ format:
```
4
Lattice="-2.0366 4.3904 -0.2815 -1.3884 -0.8287 -2.8795 -5.9843 -2.7715 0.0694" Properties=species:S:1:pos:R:3 pbc="T T T"
Pb -3.4386 1.0508 -0.4801
Pb -5.4077 -2.5275 -0.2955
Tc -3.1134 -1.5581 -1.7764
Cl -7.1203 -0.7466 -1.8753
```